# 1
# Mn2SnO4 (GGA-PBEsol, relaxed)
# ΔE_f (raw)	-1.39	eV per atom
data_Mn2SnO4
_cell_length_a 6.162
_cell_length_b 6.316
_cell_length_c 8.950
_cell_angle_alpha 90.00
_cell_angle_beta 90.00
_cell_angle_gamma 90.00
_symmetry_space_group_name_H-M 'I m m a'
_symmetry_Int_Tables_number 74
_symmetry_space_group_name_Hall '-I 2b 2'
loop_
_atom_site_label
_atom_site_fract_x
_atom_site_fract_y
_atom_site_fract_z
Mn1 0.000 0.250 0.139
Mn2 0.250 0.250 0.750
Sn1 0.000 0.000 0.500
O1 0.000 0.019 0.732
O2 0.230 0.250 0.501



# 2
# Ti3Mn3Sn2O16 (GGA-PBEsol, relaxed)
# ΔE_f (raw)	-2.08	eV per atom
data_Ti3Mn3Sn2O16
_cell_length_a 10.023
_cell_length_b 5.803
_cell_length_c 9.427
_cell_angle_alpha 90.00
_cell_angle_beta 91.67
_cell_angle_gamma 90.00
_symmetry_space_group_name_H-M 'C 1 m 1'
_symmetry_Int_Tables_number 8
loop_
_symmetry_equiv_pos_as_xyz
'x,y,z'
'x,-y,z'
'x+1/2,y+1/2,z'
'x+1/2,-y+1/2,z'
loop_
_atom_site_label
_atom_site_fract_x
_atom_site_fract_y
_atom_site_fract_z
Ti1 0.000 0.000 0.000
Ti2 0.082 0.251 0.499
Mn1 0.247 0.254 0.996
Mn2 0.333 0.000 0.496
Sn1 0.325 0.500 0.273
Sn2 0.488 0.000 0.777
O1 0.078 0.243 0.891
O2 0.140 0.500 0.622
O3 0.169 0.000 0.096
O4 0.169 0.000 0.597
O5 0.179 0.500 0.107
O6 0.241 0.244 0.389
O7 0.317 0.000 0.891
O8 0.320 0.500 0.892
O9 0.398 0.276 0.115
O10 0.416 0.219 0.614
O11 0.489 0.000 0.390
O12 0.494 0.500 0.393